VASP calculation (GGA-PBE) on an optimized crystal structure of Ag2GeAs.

Structure (POSCAR):
```
Ag2GeAs
1.0
-1.983 -2.102 2.865
-0.062 -3.259 -2.435
7.286 -5.558 3.854
As Ge Ag
2 2 4
Direct
0.000 0.000 0.000
0.750 0.250 0.500
0.500 0.500 0.000
0.250 0.750 0.500
0.622 0.125 0.250
0.128 0.625 0.250
0.375 0.378 0.750
0.875 0.872 0.750
```

Space-group type = I-42d
E_tot = -0.128 Ha/atom
Energy above the most stable polymorph in this dataset = 0.038 eV per atom
D(E_F) = 3.89 states/eV per cell
Formation enthalpy at 0 K = 246.3 meV per atom